# 1
A geometry-optimized PmPr5Ho6 structure. Source: Alexandria, functional PBE.

Unit cell a=6.283 b=10.879 c=11.840 alpha=90.00 beta=100.15 gamma=90.00
Space group C2/m (No. 12)
One atom of each set of equivalent atoms:
Pm1 0.000 0.000 0.000 (multiplicity 2)
Pr1 0.000 0.167 0.500 (multiplicity 4)
Pr2 0.000 0.333 0.000 (multiplicity 4)
Pr3 0.000 0.500 0.500 (multiplicity 2)
Ho1 0.249 0.167 0.249 (multiplicity 8)
Ho2 0.250 0.000 0.750 (multiplicity 4)

* raw total energy: -4.664 eV per atom
* DOS at the Fermi energy: 12.8 states/eV/f.u.
* size of the total moment: 0.0 μB per formula unit
* crystal system: monoclinic
* V: 33.191 A^3/atom

# 2
A geometry-optimized Pm2HoPaBi4 structure. Source: Alexandria, functional PBE.

Unit cell a=7.828 b=4.515 c=7.851 alpha=90.00 beta=109.26 gamma=90.00
Space group P2/m (No. 10)
One atom of each set of equivalent atoms:
Pm1 0.000 0.000 0.000 (multiplicity 1)
Pm2 0.500 0.500 0.000 (multiplicity 1)
Ho1 0.000 0.500 0.500 (multiplicity 1)
Pa1 0.500 0.000 0.500 (multiplicity 1)
Bi1 0.247 0.000 0.742 (multiplicity 2)
Bi2 0.251 0.500 0.256 (multiplicity 2)

* raw total energy: -5.578 eV per atom
* DOS at the Fermi energy: 7.4 states/eV/f.u.
* size of the total moment: 1.0 μB per formula unit
* crystal system: monoclinic
* V: 32.744 A^3/atom

# 3
A geometry-optimized MgPt2W structure. Source: Alexandria, functional PBE.

Unit cell a=2.803 b=2.803 c=8.203 alpha=90.00 beta=90.00 gamma=90.00
Space group P4mm (No. 99)
One atom of each set of equivalent atoms:
Mg1 0.000 0.000 0.000 (multiplicity 1)
Pt1 0.000 0.000 0.490 (multiplicity 1)
Pt2 0.500 0.500 0.231 (multiplicity 1)
W1 0.500 0.500 0.722 (multiplicity 1)

* raw total energy: -6.826 eV per atom
* DOS at the Fermi energy: 3.2 states/eV/f.u.
* size of the total moment: 0.0 μB per formula unit
* crystal system: tetragonal
* V: 16.111 A^3/atom

# 4
A geometry-optimized CdOs2Au2 structure. Source: Alexandria, functional PBE.

Unit cell a=3.593 b=3.593 c=14.438 alpha=90.00 beta=90.00 gamma=90.00
Space group I4/mmm (No. 139)
One atom of each set of equivalent atoms:
Cd1 0.000 0.000 0.000 (multiplicity 2)
Os1 0.000 0.500 0.250 (multiplicity 4)
Au1 0.000 0.000 0.402 (multiplicity 4)

* raw total energy: -5.362 eV per atom
* DOS at the Fermi energy: 4.7 states/eV/f.u.
* size of the total moment: 0.0 μB per formula unit
* crystal system: tetragonal
* V: 18.637 A^3/atom

# 5
A geometry-optimized CsLiTeN2 structure. Source: Alexandria, functional PBE.

Unit cell a=5.127 b=5.127 c=5.221 alpha=90.00 beta=90.00 gamma=90.00
Space group P4/mmm (No. 123)
One atom of each set of equivalent atoms:
Cs1 0.000 0.000 0.000 (multiplicity 1)
Li1 0.500 0.500 0.500 (multiplicity 1)
Te1 0.500 0.500 0.000 (multiplicity 1)
N1 0.000 0.500 0.500 (multiplicity 2)

* DOS at the Fermi energy: 2.1 states/eV/f.u.
* size of the total moment: 5.9 μB per formula unit
* crystal system: tetragonal
* V: 27.454 A^3/atom
* formation energy from raw total energies: 6.52 eV per formula unit

# 6
A geometry-optimized KInHg2Se structure. Source: Alexandria, functional PBE.

Unit cell a=5.668 b=5.668 c=5.620 alpha=90.00 beta=90.00 gamma=90.00
Space group P4/mmm (No. 123)
One atom of each set of equivalent atoms:
K1 0.000 0.000 0.000 (multiplicity 1)
In1 0.500 0.500 0.500 (multiplicity 1)
Hg1 0.000 0.500 0.500 (multiplicity 2)
Se1 0.500 0.500 0.000 (multiplicity 1)

* DOS at the Fermi energy: 1.1 states/eV/f.u.
* size of the total moment: 0.0 μB per formula unit
* crystal system: tetragonal
* V: 36.118 A^3/atom
* formation energy from raw total energies: -1.39 eV per formula unit

# 7
A geometry-optimized Pm3PrHg5 structure. Source: Alexandria, functional PBE.

Unit cell a=9.3403 b=9.3403 c=6.6384 alpha=90.00 beta=90.00 gamma=120.00
Space group P6_3/mcm (No. 193)
One atom of each set of equivalent atoms:
Pm1 0.0000 0.3703 0.2500 (multiplicity 6)
Pr1 0.0000 0.0000 0.0000 (multiplicity 2)
Hg1 0.0000 0.3028 0.7500 (multiplicity 6)
Hg2 0.3333 0.6667 0.0000 (multiplicity 4)

* raw total energy: -2.688 eV per atom
* DOS at the Fermi energy: 10.1 states/eV/f.u.
* size of the total moment: 0.0 μB per formula unit
* crystal system: hexagonal
* V: 27.864 A^3/atom

# 8
A geometry-optimized MnRuN2 structure. Source: Alexandria, functional PBE.

Unit cell a=5.184 b=5.184 c=5.184 alpha=90.00 beta=90.00 gamma=90.00
Space group Fm-3m (No. 225)
One atom of each set of equivalent atoms:
Mn1 0.000 0.000 0.000 (multiplicity 4)
Ru1 0.000 0.000 0.500 (multiplicity 4)
N1 0.250 0.250 0.250 (multiplicity 8)

* DOS at the Fermi energy: 3.6 states/eV/f.u.
* size of the total moment: 0.0 μB per formula unit
* crystal system: cubic
* V: 8.707 A^3/atom
* formation energy from raw total energies: 3.39 eV per formula unit

# 9
A geometry-optimized Ac3CdSn3 structure. Source: Alexandria, functional PBE.

Unit cell a=12.465 b=4.942 c=15.974 alpha=90.00 beta=108.65 gamma=90.00
Space group C2/m (No. 12)
One atom of each set of equivalent atoms:
Ac1 0.024 0.000 0.381 (multiplicity 4)
Ac2 0.101 0.000 0.921 (multiplicity 4)
Ac3 0.240 0.000 0.226 (multiplicity 4)
Cd1 0.229 0.500 0.391 (multiplicity 4)
Sn1 0.022 0.500 0.229 (multiplicity 4)
Sn2 0.119 0.500 0.075 (multiplicity 4)
Sn3 0.140 0.500 0.548 (multiplicity 4)

* raw total energy: -4.246 eV per atom
* DOS at the Fermi energy: 5.3 states/eV/f.u.
* size of the total moment: 0.0 μB per formula unit
* crystal system: monoclinic
* V: 33.299 A^3/atom

# 10
A geometry-optimized Li12Pb5Au2 structure. Source: Alexandria, functional PBE.

Unit cell a=14.980 b=7.441 c=7.251 alpha=90.00 beta=110.95 gamma=90.00
Space group C2/m (No. 12)
One atom of each set of equivalent atoms:
Li1 0.020 0.000 0.205 (multiplicity 4)
Li2 0.064 0.500 0.667 (multiplicity 4)
Li3 0.138 0.309 0.377 (multiplicity 8)
Li4 0.144 0.270 0.954 (multiplicity 8)
Pb1 0.000 0.500 0.000 (multiplicity 2)
Pb2 0.200 0.000 0.703 (multiplicity 4)
Pb3 0.233 0.000 0.250 (multiplicity 4)
Au1 0.000 0.194 0.500 (multiplicity 4)

* raw total energy: -2.820 eV per atom
* DOS at the Fermi energy: 5.1 states/eV/f.u.
* size of the total moment: 0.0 μB per formula unit
* crystal system: monoclinic
* V: 19.864 A^3/atom

# 11
A geometry-optimized Hg2BiTe structure. Source: Alexandria, functional PBE.

Unit cell a=6.809 b=6.809 c=13.038 alpha=90.00 beta=90.00 gamma=90.00
Space group I-42d (No. 122)
One atom of each set of equivalent atoms:
Hg1 0.248 0.250 0.125 (multiplicity 8)
Bi1 0.000 0.000 0.500 (multiplicity 4)
Te1 0.000 0.000 0.000 (multiplicity 4)

* DOS at the Fermi energy: 2.9 states/eV/f.u.
* size of the total moment: 0.0 μB per formula unit
* crystal system: tetragonal
* V: 37.784 A^3/atom
* formation energy from raw total energies: 0.28 eV per formula unit

# 12
A geometry-optimized Tl2Cr structure. Source: Alexandria, functional PBE.

Unit cell a=4.895 b=4.895 c=3.179 alpha=90.00 beta=90.00 gamma=90.00
Space group P4/mmm (No. 123)
One atom of each set of equivalent atoms:
Tl1 0.000 0.500 0.000 (multiplicity 2)
Cr1 0.000 0.000 0.500 (multiplicity 1)

* raw total energy: -4.311 eV per atom
* DOS at the Fermi energy: 1.8 states/eV/f.u.
* size of the total moment: 3.3 μB per formula unit
* crystal system: tetragonal
* V: 25.393 A^3/atom